Record 1
This record from Alexandria via LeMat-Bulk describes a relaxed structure of Rb2HfInSe5. The functional is PBE-GGA.

Cell and atoms, written as extended XYZ:
```
18
Lattice="1.9656 -10.3174 0.0000 1.9656 10.3174 0.0000 0.0000 0.0000 14.8618" Properties=species:S:1:pos:R:3 pbc="T T T"
Rb 1.9656 7.7139 7.4309
Rb 1.9656 7.4721 1.8531
Rb 1.9656 -7.4721 9.2840
Rb 1.9656 -7.7139 0.0000
Hf 1.9656 5.9601 12.3415
Hf 1.9656 -5.9601 4.9106
In 1.9656 1.3357 3.6240
In 1.9656 -1.3357 11.0549
Se 1.9656 8.8825 12.7765
Se 1.9656 4.2471 6.6879
Se 1.9656 3.9734 2.9864
Se 1.9656 3.4365 12.1261
Se 1.9656 0.0388 1.4518
Se 1.9656 -0.0388 8.8827
Se 1.9656 -3.4365 4.6951
Se 1.9656 -3.9734 10.4173
Se 1.9656 -4.2471 14.1188
Se 1.9656 -8.8825 5.3456
```

Raw total energy ... -4.5486 eV per atom
Crystal system ... orthorhombic

Record 2
This record from Alexandria via LeMat-Bulk describes a relaxed structure of Rb2HfInSe4. The functional is PBE-GGA.

Cell and atoms, written as extended XYZ:
```
16
Lattice="0.0000 7.3281 12.1189 3.5095 0.0000 12.1189 3.5095 7.3281 0.0000" Properties=species:S:1:pos:R:3 pbc="T T T"
Rb 2.6321 5.4960 1.3882
Rb 4.3868 9.1601 7.4477
Rb 2.6321 5.4960 16.7901
Rb 4.3868 9.1601 22.8495
Hf 0.8774 1.8320 3.0297
Hf 6.1415 12.8241 21.2080
In 2.6321 5.4960 9.0892
In 4.3868 9.1601 15.1486
Se 2.4286 3.2828 4.3979
Se 4.5903 6.9469 10.4574
Se 2.8355 7.7093 4.3979
Se 2.8355 3.2828 13.7804
Se 4.1834 11.3733 10.4574
Se 4.1834 6.9469 19.8398
Se 2.4286 7.7093 13.7804
Se 4.5903 11.3733 19.8398
```

Raw total energy ... -4.6028 eV per atom
Crystal system ... orthorhombic

Record 3
This record from Alexandria via LeMat-Bulk describes a relaxed structure of RbHf2InSe. The functional is PBE-GGA.

Cell and atoms, written as extended XYZ:
```
5
Lattice="5.2403 0.0000 0.0000 0.0000 5.2403 0.0000 0.0000 0.0000 5.5800" Properties=species:S:1:pos:R:3 pbc="T T T"
Rb 0.0000 0.0000 0.0000
Hf 0.0000 2.6201 0.0000
Hf 2.6201 0.0000 0.0000
In 2.6201 2.6201 2.7900
Se 0.0000 0.0000 2.7900
```

Raw total energy ... -3.5191 eV per atom
Crystal system ... tetragonal